DFT (PBE) results for a relaxed CdSb2Pb crystal.

Geometry as extended XYZ:
```
4
Lattice="3.4278 -4.9700 0.0000 3.4278 4.9700 0.0000 -0.7968 0.0000 3.2994" Properties=species:S:1:pos:R:3 pbc="T T T"
Cd 0.0000 0.0000 0.0000
Sb 1.3155 2.4850 1.6497
Sb 1.3155 -2.4850 1.6497
Pb 3.4278 0.0000 0.0000
```

Computed properties:
Formation energy without anion corrections: 134 meV per atom
Space group: No. 12
ρ: 8.318 g/cm³